(1)
{"formula": "CeReSn", "functional": "PBE-GGA", "state": "relaxed", "n_ef_per_ev_fu": 6.4, "space_group": "P4/nmm, No. 129", "formation_energy_ev_per_atom": 0.12, "lattice": [[3.6727, 0.0000, 0.0000], [0.0000, 3.6727, 0.0000], [0.0000, 0.0000, 11.0062]], "species": ["Re", "Re", "Ce", "Ce", "Sn", "Sn"], "frac_coords": [[0.0000, 0.0000, 0.0000], [0.5000, 0.5000, 0.0000], [0.5000, 0.0000, 0.7727], [0.0000, 0.5000, 0.2273], [0.0000, 0.5000, 0.5742], [0.5000, 0.0000, 0.4258]]}

***

(2)
{"formula": "Ta2GeCS", "functional": "PBE-GGA", "state": "relaxed", "n_ef_per_ev_fu": 2.5, "space_group": "P4/mmm, No. 123", "e_form_raw_ev_per_atom": 1.860, "lattice": [[4.5295, 0.0000, 0.0000], [0.0000, 4.5884, 0.0000], [0.0000, 0.0000, 4.5295]], "species": ["C", "Ta", "Ta", "S", "Ge"], "frac_coords": [[0.5000, 0.5000, 0.5000], [0.0000, 0.0000, 0.5000], [0.5000, 0.0000, 0.0000], [0.0000, 0.0000, 0.0000], [0.0000, 0.5000, 0.0000]]}